Density functional theory data (PBE) for a relaxed La6Si3S14 crystal.

Cell and atoms, written as POSCAR:
```
La6Si3S14
1.0
10.4032 0.0000 0.0000
-5.2016 9.0095 0.0000
0.0000 0.0000 5.8068
La Si S
6 3 14
direct
0.0316 0.5746 0.0000
0.3173 0.1034 0.5142
0.4254 0.4570 0.0000
0.5430 0.9684 0.0000
0.7861 0.6827 0.5142
0.8966 0.2139 0.5142
0.0000 0.0000 0.9287
0.3333 0.6667 0.4138
0.6667 0.3333 0.2331
0.0000 0.0000 0.2912
0.0756 0.8594 0.7838
0.1406 0.2163 0.7838
0.1878 0.4499 0.2735
0.2621 0.8122 0.2735
0.3333 0.6667 0.7782
0.4322 0.1786 0.0291
0.4908 0.4205 0.5187
0.5501 0.7379 0.2735
0.5795 0.0702 0.5187
0.7465 0.5678 0.0291
0.7837 0.9244 0.7838
0.8214 0.2535 0.0291
0.9298 0.5092 0.5187
```

Results
The value obtained for the total energy is -0.4519 Ry per atom. As for the space group: P3. As for the total moment: 0.00 μB per atom. The energy relative to the elements, uncorrected comes out at -1.643 eV/atom.